Material: CuSb2Te
Method: DFT, PBE-GGA
State: relaxed

Computed properties:
Formation energy without anion corrections   0.245 eV/atom
Final energy   -3.625 eV/atom
DOS(E_F)   0.59 states/eV/atom

a = 3.9214 Å, b = 5.3136 Å, c = 9.4347 Å
α = 90.00°, β = 90.00°, γ = 90.00°
Space group Cmm2 (No. 35)
Asymmetric unit:
Cu (0.0000, 0.0000, 0.0000) [2 per cell]
Sb (0.0000, 0.0000, 0.5219) [2 per cell]
Sb (0.0000, 0.5000, 0.8010) [2 per cell]
Te (0.0000, 0.5000, 0.1913) [2 per cell]